Record 1
Crystalline TaZn2Rh at its relaxed geometry, computed with PBE.

Cell: 2.801 4.093 5.472 Å, 90.00 104.81 90.00°
Space group Pm (No. 6)
One atom of each set of equivalent atoms:
1 Ta 0.000 0.000 0.000 x1
2 Zn 0.629 0.500 0.253 x1
3 Zn 0.742 0.000 0.497 x1
4 Rh 0.369 0.500 0.747 x1

Computed properties:
Its energy of formation from the pure elements is -184 meV per atom.


Record 2
Crystalline PuPaSiOs at its relaxed geometry, computed with PBE.

Cell: 3.915 3.993 10.899 Å, 90.00 90.00 90.00°
Space group Amm2 (No. 38)
One atom of each set of equivalent atoms:
1 Pu 0.000 0.000 0.000 x2
2 Pa 0.500 0.000 0.285 x2
3 Si 0.500 0.000 0.578 x2
4 Os 0.000 0.000 0.735 x2

Computed properties:
The energy relative to the elements, uncorrected is -0.428 eV/atom.


Record 3
Crystalline SrNClF2 at its relaxed geometry, computed with PBE.

Cell: 4.696 4.696 5.888 Å, 90.00 90.00 90.00°
Space group P4/mmm (No. 123)
One atom of each set of equivalent atoms:
1 Sr 0.000 0.000 0.000 x1
2 N 0.000 0.000 0.500 x1
3 Cl 0.500 0.500 0.500 x1
4 F 0.000 0.500 0.000 x2

Computed properties:
The energy relative to the elements, uncorrected is -0.825 eV/atom.


Record 4
Crystalline SmNp2PaP4 at its relaxed geometry, computed with PBE.

Cell: 6.907 4.005 6.946 Å, 90.00 109.59 90.00°
Space group P2/m (No. 10)
One atom of each set of equivalent atoms:
1 Sm 0.000 0.000 0.000 x1
2 Np 0.500 0.000 0.500 x1
3 Np 0.500 0.500 0.000 x1
4 Pa 0.000 0.500 0.500 x1
5 P 0.253 0.000 0.746 x2
6 P 0.258 0.500 0.259 x2

Computed properties:
Its energy of formation from the pure elements is -1153 meV per atom.


Record 5
Crystalline RbNaTe2 at its relaxed geometry, computed with PBE.

Cell: 6.360 10.253 5.043 Å, 90.00 90.00 90.00°
Space group Cmmm (No. 65)
One atom of each set of equivalent atoms:
1 Rb 0.000 0.000 0.000 x2
2 Na 0.000 0.500 0.500 x2
3 Te 0.250 0.250 0.500 x4

Computed properties:
The energy relative to the elements, uncorrected is -0.686 eV/atom.


Record 6
Crystalline LiUBi2N at its relaxed geometry, computed with PBE.

Cell: 3.926 3.926 16.197 Å, 90.00 90.00 90.00°
Space group P4/nmm (No. 129, origin choice 2)
One atom of each set of equivalent atoms:
1 Li 0.250 0.250 0.137 x2
2 U 0.250 0.250 0.569 x2
3 Bi 0.250 0.250 0.310 x2
4 Bi 0.250 0.250 0.950 x2
5 N 0.250 0.750 0.500 x2

Computed properties:
The energy relative to the elements, uncorrected is -0.574 eV/atom.


Record 7
Crystalline Sr2HPd at its relaxed geometry, computed with PBE.

Cell: 7.347 7.347 7.347 Å, 90.00 90.00 90.00°
Space group Fm-3m (No. 225)
One atom of each set of equivalent atoms:
1 Sr 0.250 0.250 0.250 x8
2 H 0.000 0.000 0.000 x4
3 Pd 0.000 0.000 0.500 x4

Computed properties:
The total energy comes out at -3.236 eV per atom.


Record 8
Crystalline Bi2SbPbO8 at its relaxed geometry, computed with PBE.

Cell: 7.121 7.272 6.955 Å, 90.00 90.00 90.00°
Space group Cmmm (No. 65)
One atom of each set of equivalent atoms:
1 Bi 0.000 0.000 0.244 x4
2 Sb 0.000 0.500 0.000 x2
3 Pb 0.000 0.500 0.500 x2
4 O 0.000 0.319 0.226 x8
5 O 0.200 0.000 0.500 x4
6 O 0.216 0.000 0.000 x4

Computed properties:
The energy relative to the elements, uncorrected is -1.106 eV/atom.


Record 9
Crystalline PmHoPtAu at its relaxed geometry, computed with PBE.

Cell: 4.642 3.825 10.782 Å, 90.00 90.00 90.00°
Space group Amm2 (No. 38)
One atom of each set of equivalent atoms:
1 Pm 0.000 0.000 0.000 x2
2 Ho 0.500 0.000 0.276 x2
3 Pt 0.000 0.000 0.729 x2
4 Au 0.500 0.000 0.554 x2

Computed properties:
Its energy of formation from the pure elements is -1040 meV per atom.


Record 10
Crystalline Rb2NbPb2O6 at its relaxed geometry, computed with PBE.

Cell: 6.190 10.342 6.940 Å, 90.00 107.26 90.00°
Space group C2/m (No. 12)
One atom of each set of equivalent atoms:
1 Rb 0.000 0.172 0.000 x4
2 Nb 0.000 0.000 0.500 x2
3 Pb 0.000 0.335 0.500 x4
4 O 0.197 0.144 0.672 x8
5 O 0.211 0.000 0.324 x4

Computed properties:
The energy relative to the elements, uncorrected is -1.634 eV/atom.


Record 11
Crystalline K4Pm3BiO8 at its relaxed geometry, computed with PBE.

Cell: 7.2211 7.2211 18.9151 Å, 90.00 90.00 120.00°
Space group R-3m (No. 166, hexagonal axes)
One atom of each set of equivalent atoms:
1 K 0.0000 0.0000 0.0000 x3
2 K 0.0000 0.5000 0.0000 x9
3 Pm 0.0000 0.5000 0.5000 x9
4 Bi 0.0000 0.0000 0.5000 x3
5 O 0.0000 0.0000 0.2296 x6
6 O 0.0055 0.5027 0.7685 x18

Computed properties:
The energy relative to the elements, uncorrected is -2.326 eV/atom.


Record 12
Crystalline AcLa9Y4 at its relaxed geometry, computed with PBE.

Cell: 10.1009 10.1009 11.8017 Å, 90.00 90.00 120.00°
Space group P6_3/mmc (No. 194)
One atom of each set of equivalent atoms:
1 Ac 0.3333 0.6667 0.2500 x2
2 La 0.0876 0.5438 0.7500 x6
3 La 0.2053 0.4107 0.0242 x12
4 Y 0.0000 0.0000 0.0000 x2
5 Y 0.1102 0.2203 0.7500 x6

Computed properties:
Its energy of formation from the pure elements is 159 meV per atom.


Record 13
Crystalline TaTc2Br at its relaxed geometry, computed with PBE.

Cell: 3.0969 3.0969 25.0602 Å, 90.00 90.00 120.00°
Space group R-3m (No. 166, hexagonal axes)
One atom of each set of equivalent atoms:
1 Ta 0.0000 0.0000 0.0000 x3
2 Tc 0.0000 0.0000 0.2543 x6
3 Br 0.0000 0.0000 0.5000 x3

Computed properties:
The energy relative to the elements, uncorrected is 0.358 eV/atom.


Record 14
Crystalline Ba2CePuO6 at its relaxed geometry, computed with PBE.

Cell: 6.266 6.246 10.808 Å, 90.00 125.35 90.00°
Space group P2_1/c (No. 14)
One atom of each set of equivalent atoms:
1 Ba 0.243 0.018 0.250 x4
2 Ce 0.500 0.000 0.000 x2
3 Pu 0.000 0.000 0.500 x2
4 O 0.185 0.230 0.961 x4
5 O 0.230 0.724 0.962 x4
6 O 0.317 0.013 0.746 x4

Computed properties:
The energy relative to the elements, uncorrected is -3.078 eV/atom.


Record 15
Crystalline CdTcIr2 at its relaxed geometry, computed with PBE.

Cell: 2.837 4.673 4.783 Å, 90.00 90.00 90.00°
Space group Pmmm (No. 47)
One atom of each set of equivalent atoms:
1 Cd 0.000 0.000 0.000 x1
2 Tc 0.500 0.000 0.500 x1
3 Ir 0.000 0.500 0.500 x1
4 Ir 0.500 0.500 0.000 x1

Computed properties:
Its energy of formation from the pure elements is 463 meV per atom.


Record 16
Crystalline NdInBi at its relaxed geometry, computed with PBE.

Cell: 5.3069 5.3069 3.7809 Å, 90.00 90.00 120.00°
Space group P3m1 (No. 156)
One atom of each set of equivalent atoms:
1 Nd 0.0000 0.0000 0.0000 x1
2 In 0.6667 0.3333 0.5618 x1
3 Bi 0.3333 0.6667 0.4660 x1

Computed properties:
Its energy of formation from the pure elements is -368 meV per atom.


Record 17
Crystalline U2Fe5Ge3 at its relaxed geometry, computed with PBE.

Cell: 4.052 24.147 6.126 Å, 90.00 90.00 90.00°
Space group Cmc2_1 (No. 36)
One atom of each set of equivalent atoms:
1 U 0.000 0.007 0.000 x4
2 U 0.000 0.322 0.955 x4
3 Fe 0.000 0.108 0.200 x4
4 Fe 0.000 0.206 0.166 x4
5 Fe 0.000 0.208 0.752 x4
6 Fe 0.000 0.373 0.480 x4
7 Fe 0.000 0.455 0.222 x4
8 Ge 0.000 0.109 0.730 x4
9 Ge 0.000 0.273 0.458 x4
10 Ge 0.000 0.440 0.798 x4

Computed properties:
Its energy of formation from the pure elements is -167 meV per atom.


Record 18
Crystalline HfSc2Si at its relaxed geometry, computed with PBE.

Cell: 7.885 7.885 5.563 Å, 90.00 90.00 90.00°
Space group I-42d (No. 122)
One atom of each set of equivalent atoms:
1 Hf 0.000 0.000 0.000 x4
2 Sc 0.206 0.250 0.625 x8
3 Si 0.000 0.000 0.500 x4

Computed properties:
The energy relative to the elements, uncorrected is 0.065 eV/atom.


Record 19
Crystalline Tl2FeMo at its relaxed geometry, computed with PBE.

Cell: 6.674 6.674 6.674 Å, 90.00 90.00 90.00°
Space group Fm-3m (No. 225)
One atom of each set of equivalent atoms:
1 Tl 0.250 0.250 0.250 x8
2 Fe 0.000 0.000 0.000 x4
3 Mo 0.000 0.000 0.500 x4

Computed properties:
Its energy of formation from the pure elements is 910 meV per atom.


Record 20
Crystalline LaZnCrP2 at its relaxed geometry, computed with PBE.

Cell: 4.744 4.744 4.530 Å, 90.00 90.00 90.00°
Space group P4/mmm (No. 123)
One atom of each set of equivalent atoms:
1 La 0.000 0.000 0.000 x1
2 Zn 0.500 0.500 0.500 x1
3 Cr 0.500 0.500 0.000 x1
4 P 0.000 0.500 0.500 x2

Computed properties:
Its energy of formation from the pure elements is 481 meV per atom.


Record 21
Crystalline Ca8Ag2Hg at its relaxed geometry, computed with PBE.

Cell: 9.318 13.831 6.081 Å, 90.00 106.93 90.00°
Space group Cm (No. 8)
One atom of each set of equivalent atoms:
1 Ca 0.000 0.000 0.000 x2
2 Ca 0.069 0.371 0.784 x4
3 Ca 0.166 0.128 0.596 x4
4 Ca 0.235 0.500 0.369 x2
5 Ca 0.369 0.227 0.187 x4
6 Ag 0.366 0.314 0.682 x4
7 Hg 0.368 0.000 0.057 x2

Computed properties:
Its energy of formation from the pure elements is -193 meV per atom.


Record 22
Crystalline Pm12Ge5Pb2 at its relaxed geometry, computed with PBE.

Cell: 17.321 7.173 9.909 Å, 90.00 104.71 90.00°
Space group C2/m (No. 12)
One atom of each set of equivalent atoms:
1 Pm 0.007 0.000 0.262 x4
2 Pm 0.090 0.500 0.796 x4
3 Pm 0.146 0.241 0.544 x8
4 Pm 0.184 0.239 0.102 x8
5 Ge 0.000 0.500 0.500 x2
6 Ge 0.170 0.000 0.811 x4
7 Ge 0.210 0.000 0.351 x4
8 Pb 0.000 0.275 0.000 x4

Computed properties:
Its energy of formation from the pure elements is -413 meV per atom.


Record 23
Crystalline YSn2Rh2 at its relaxed geometry, computed with PBE.

Cell: 9.840 9.138 5.471 Å, 90.00 115.88 90.00°
Space group C2/c (No. 15)
One atom of each set of equivalent atoms:
1 Y 0.000 0.135 0.250 x4
2 Sn 0.219 0.394 0.104 x8
3 Rh 0.000 0.210 0.750 x4
4 Rh 0.000 0.444 0.250 x4

Computed properties:
Its energy of formation from the pure elements is -566 meV per atom.